Record 1
# LiNiW2

A relaxed structure of LiNiW2 (PBE, the Alexandria database).

Cell and atoms, written as CIF:
```
data_LiNiW2
_cell_length_a 3.693
_cell_length_b 3.693
_cell_length_c 8.091
_cell_angle_alpha 90.00
_cell_angle_beta 90.00
_cell_angle_gamma 90.00
_space_group_name_H-M_alt 'I 4/m m m'
_space_group_IT_number 139
_space_group_name_Hall '-I 4 2'
loop_
_atom_site_label
_atom_site_type_symbol
_atom_site_fract_x
_atom_site_fract_y
_atom_site_fract_z
Li1 Li 0.000 0.000 0.000
Ni1 Ni 0.000 0.000 0.500
W1 W 0.000 0.500 0.250
```



Record 2
# Li2NiW

A relaxed structure of Li2NiW (PBE, the Alexandria database).

Cell and atoms, written as CIF:
```
data_Li2NiW
_cell_length_a 6.649
_cell_length_b 6.649
_cell_length_c 4.811
_cell_angle_alpha 90.00
_cell_angle_beta 90.00
_cell_angle_gamma 90.00
_space_group_name_H-M_alt 'I -4 2 d'
_space_group_IT_number 122
_space_group_name_Hall 'I -4 2bw'
loop_
_atom_site_label
_atom_site_type_symbol
_atom_site_fract_x
_atom_site_fract_y
_atom_site_fract_z
Li1 Li 0.216 0.750 0.125
Ni1 Ni 0.000 0.000 0.000
W1 W 0.000 0.000 0.500
```



Record 3
# LiNiW2

A relaxed structure of LiNiW2 (PBE, the Alexandria database).

Cell and atoms, written as CIF:
```
data_LiNiW2
_cell_length_a 2.607
_cell_length_b 4.407
_cell_length_c 5.001
_cell_angle_alpha 90.00
_cell_angle_beta 100.10
_cell_angle_gamma 90.00
_space_group_name_H-M_alt 'P 1 2/m 1'
_space_group_IT_number 10
loop_
_space_group_symop_operation_xyz
'x,y,z'
'-x,-y,-z'
'-x,y,-z'
'x,-y,z'
loop_
_atom_site_label
_atom_site_type_symbol
_atom_site_fract_x
_atom_site_fract_y
_atom_site_fract_z
Li1 Li 0.000 0.000 0.000
Ni1 Ni 0.500 0.000 0.500
W1 W 0.233 0.500 0.749
```



Record 4
# Li2NiW

A relaxed structure of Li2NiW (PBE, the Alexandria database).

Cell and atoms, written as CIF:
```
data_Li2NiW
_cell_length_a 2.554
_cell_length_b 4.376
_cell_length_c 4.885
_cell_angle_alpha 90.00
_cell_angle_beta 90.00
_cell_angle_gamma 90.00
_space_group_name_H-M_alt 'P m m m'
_space_group_IT_number 47
loop_
_space_group_symop_operation_xyz
'x,y,z'
'-x,-y,-z'
'-x,-y,z'
'x,y,-z'
'x,-y,-z'
'-x,y,z'
'-x,y,-z'
'x,-y,z'
loop_
_atom_site_label
_atom_site_type_symbol
_atom_site_fract_x
_atom_site_fract_y
_atom_site_fract_z
Li1 Li 0.000 0.000 0.239
Ni1 Ni 0.500 0.500 0.000
W1 W 0.500 0.500 0.500
```



Record 5
# LiNiW2

A relaxed structure of LiNiW2 (PBE, the Alexandria database).

Cell and atoms, written as CIF:
```
data_LiNiW2
_cell_length_a 3.190
_cell_length_b 3.190
_cell_length_c 5.530
_cell_angle_alpha 90.00
_cell_angle_beta 90.00
_cell_angle_gamma 90.00
_space_group_name_H-M_alt 'P 4 m m'
_space_group_IT_number 99
loop_
_space_group_symop_operation_xyz
'x,y,z'
'-y,x,z'
'-x,-y,z'
'y,-x,z'
'-x,y,z'
'y,x,z'
'x,-y,z'
'-y,-x,z'
loop_
_atom_site_label
_atom_site_type_symbol
_atom_site_fract_x
_atom_site_fract_y
_atom_site_fract_z
Li1 Li 0.000 0.000 0.000
Ni1 Ni 0.500 0.500 0.210
W1 W 0.000 0.000 0.482
W2 W 0.500 0.500 0.731
```



Record 6
# Li2NiW

A relaxed structure of Li2NiW (PBE, the Alexandria database).

Cell and atoms, written as CIF:
```
data_Li2NiW
_cell_length_a 5.842
_cell_length_b 5.842
_cell_length_c 5.842
_cell_angle_alpha 90.00
_cell_angle_beta 90.00
_cell_angle_gamma 90.00
_space_group_name_H-M_alt 'F -4 3 m'
_space_group_IT_number 216
_space_group_name_Hall 'F -4 2 3'
loop_
_atom_site_label
_atom_site_type_symbol
_atom_site_fract_x
_atom_site_fract_y
_atom_site_fract_z
Li1 Li 0.000 0.000 0.000
Li2 Li 0.250 0.250 0.250
Ni1 Ni 0.250 0.250 0.750
W1 W 0.000 0.000 0.500
```



no.,ΔE to the lowest computed polymorph (eV per atom)
1,0.171
2,0.656
3,0.143
4,0.223
5,0.152
6,0.194